No. 1
VASP calculation (PBE) on a geometry-optimized KLi2Ta structure.

- relative energy among the computed polymorphs (eV per atom) = 0.017
- formation energy from the elements (eV/atom) = 0.649
- D(E_F) (states/eV/cell) = 2.8
- V (Å³/cell) = 91.4

Unit cell a=2.948 b=2.948 c=11.772 alpha=90.00 beta=90.00 gamma=116.69
Element x y z (fractional)
Li (0.500, 0.500, 0.257)
Li (0.000, 0.000, 0.030)
K (0.500, 0.500, 0.744)
Ta (0.000, 0.000, 0.469)


No. 2
VASP calculation (PBE) on a geometry-optimized V5W4 structure.

- formation energy from the elements (eV/atom) = -0.068
- D(E_F) (states/eV/cell) = 10.2
- V (Å³/cell) = 131.7

Unit cell a=3.090 b=6.712 c=6.712 alpha=86.90 beta=76.60 gamma=76.60
Element x y z (fractional)
V (0.000, 0.330, 0.670)
V (0.337, 0.330, 0.997)
V (0.000, 0.667, 0.333)
V (0.663, 0.003, 0.670)
V (0.000, 0.003, 0.997)
W (0.666, 0.334, 0.333)
W (0.334, 0.999, 0.333)
W (0.334, 0.667, 0.666)
W (0.666, 0.667, 0.001)


No. 3
VASP calculation (PBE) on a geometry-optimized Th4ReSe2 structure.

- formation energy (no corrections) (meV per atom) = -776.0
- D(E_F) (states/eV/cell) = 15.8
- V (Å³/cell) = 396.3

Unit cell a=3.927 b=7.080 c=14.835 alpha=90.00 beta=90.00 gamma=106.10
Element x y z (fractional)
Th (0.500, 0.000, 0.000)
Th (0.947, 0.894, 0.750)
Th (0.053, 0.106, 0.250)
Th (0.806, 0.611, 0.371)
Th (0.500, 0.000, 0.500)
Th (0.806, 0.611, 0.129)
Th (0.194, 0.389, 0.629)
Th (0.194, 0.389, 0.871)
Re (0.599, 0.198, 0.750)
Re (0.401, 0.802, 0.250)
Se (0.148, 0.296, 0.431)
Se (0.852, 0.704, 0.569)
Se (0.852, 0.704, 0.931)
Se (0.148, 0.296, 0.069)


No. 4
VASP calculation (PBE) on a geometry-optimized LaDyAlSn structure.

- formation energy from the elements (eV/atom) = -0.465
- D(E_F) (states/eV/cell) = 3.3
- V (Å³/cell) = 109.5

Unit cell a=5.370 b=5.370 c=5.370 alpha=60.00 beta=60.00 gamma=60.00
Element x y z (fractional)
Sn (0.250, 0.250, 0.250)
Dy (0.000, 0.000, 0.000)
La (0.500, 0.500, 0.500)
Al (0.750, 0.750, 0.750)


No. 5
VASP calculation (PBE) on a geometry-optimized BaTl2TeRh structure.

- formation energy (no corrections) (meV per atom) = -503.6
- D(E_F) (states/eV/cell) = 2.9
- V (Å³/cell) = 167.6

Unit cell a=5.265 b=5.265 c=6.047 alpha=90.00 beta=90.00 gamma=90.00
Element x y z (fractional)
Te (0.500, 0.500, 0.500)
Tl (0.000, 0.500, 0.000)
Tl (0.500, 0.000, 0.000)
Rh (0.000, 0.000, 0.000)
Ba (0.000, 0.000, 0.500)


No. 6
VASP calculation (PBE) on a geometry-optimized HfCr2N structure.

- formation energy (no corrections) (meV per atom) = 124.6
- D(E_F) (states/eV/cell) = 6.6
- V (Å³/cell) = 122.7

Unit cell a=5.775 b=5.775 c=5.496 alpha=58.31 beta=58.31 gamma=90.00
Site moments in Bohr magnetons follow the coordinates.
Element x y z (fractional)
Cr (0.375, 0.521, 0.750)  1.76
Cr (0.271, 0.625, 0.250)  1.79
Cr (0.479, 0.125, 0.250)  1.76
Cr (0.875, 0.729, 0.750)  1.78
N (0.250, 0.750, 0.500)  -0.12
N (0.500, 0.500, 0.000)  -0.12
Hf (0.000, 0.000, 0.000)  -0.27
Hf (0.750, 0.250, 0.500)  -0.26


No. 7
VASP calculation (PBE) on a geometry-optimized Cs2RhOF6 structure.

- formation energy (no corrections) (meV per atom) = -1709.5
- D(E_F) (states/eV/cell) = 20.2
- V (Å³/cell) = 200.5

Unit cell a=6.409 b=6.409 c=6.661 alpha=61.24 beta=61.24 gamma=90.00
Site moments in Bohr magnetons follow the coordinates.
Element x y z (fractional)
O (0.500, 0.500, 0.000)  1.52
Cs (0.750, 0.250, 0.500)  0.00
Cs (0.250, 0.750, 0.500)  0.00
F (0.216, 0.784, 0.000)  0.06
F (0.216, 0.216, 0.000)  0.06
F (0.200, 0.200, 0.600)  0.05
F (0.784, 0.784, 0.000)  0.06
F (0.784, 0.216, 0.000)  0.06
F (0.800, 0.800, 0.400)  0.05
Rh (0.000, 0.000, 0.000)  0.68


No. 8
VASP calculation (PBE) on a geometry-optimized KGaPb2Se4 structure.

- formation energy (no corrections) (meV per atom) = -521.6
- D(E_F) (states/eV/cell) = 2.9
- V (Å³/cell) = 462.0

Unit cell a=8.689 b=8.689 c=8.553 alpha=119.51 beta=119.51 gamma=90.36
Element x y z (fractional)
Ga (0.000, 0.000, 0.000)
Ga (0.500, 0.500, 0.500)
Pb (0.500, 0.500, 0.000)
Pb (0.500, 0.000, 0.000)
Pb (0.500, 0.000, 0.500)
Pb (0.000, 0.000, 0.500)
Se (0.690, 0.293, 0.492)
Se (0.254, 0.247, 0.002)
Se (0.310, 0.707, 0.508)
Se (0.746, 0.753, 0.998)
Se (0.253, 0.246, 0.498)
Se (0.207, 0.810, 0.008)
Se (0.747, 0.754, 0.502)
Se (0.793, 0.190, 0.992)
K (0.000, 0.500, 0.000)
K (0.000, 0.500, 0.500)


No. 9
VASP calculation (PBE) on a geometry-optimized Nd2SeCl5 structure.

- formation energy (no corrections) (meV per atom) = -1823.7
- V (Å³/cell) = 213.4

Unit cell a=4.639 b=7.253 c=7.253 alpha=72.21 beta=71.35 gamma=71.35
Site moments in Bohr magnetons follow the coordinates.
Element x y z (fractional)
Cl (0.335, 0.480, 0.851)  0.01
Cl (0.665, 0.520, 0.149)  0.01
Cl (0.000, 0.500, 0.500)  0.01
Cl (0.335, 0.851, 0.480)  0.01
Cl (0.665, 0.149, 0.520)  0.01
Nd (0.748, 0.752, 0.752)  -0.01
Nd (0.252, 0.248, 0.248)  -0.01
Se (0.000, 0.000, 0.000)  0.55


No. 10
VASP calculation (PBE) on a geometry-optimized Y2Mn2Si structure.

- formation energy (no corrections) (meV per atom) = -97.2
- D(E_F) (states/eV/cell) = 10.1
- V (Å³/cell) = 184.7

Unit cell a=6.475 b=6.475 c=4.406 alpha=90.00 beta=90.00 gamma=90.00
Site moments in Bohr magnetons follow the coordinates.
Element x y z (fractional)
Mn (0.384, 0.884, 0.000)  1.19
Mn (0.884, 0.616, 0.000)  1.15
Mn (0.116, 0.384, 0.000)  1.15
Mn (0.616, 0.116, 0.000)  1.19
Si (0.000, 0.000, 0.000)  -0.04
Si (0.500, 0.500, 0.000)  -0.04
Y (0.684, 0.816, 0.500)  -0.06
Y (0.316, 0.184, 0.500)  -0.06
Y (0.816, 0.316, 0.500)  -0.07
Y (0.184, 0.684, 0.500)  -0.07


No. 11
VASP calculation (PBE) on a geometry-optimized LiZr2Br structure.

- relative energy among the computed polymorphs (eV per atom) = 0.176
- formation energy (no corrections) (meV per atom) = -188.4
- D(E_F) (states/eV/cell) = 3.9
- V (Å³/cell) = 92.6

Unit cell a=8.390 b=8.390 c=3.458 alpha=78.10 beta=78.10 gamma=22.91
Element x y z (fractional)
Zr (0.441, 0.441, 0.560)
Zr (0.059, 0.059, 0.940)
Br (0.750, 0.750, 0.750)
Li (0.250, 0.250, 0.250)


No. 12
VASP calculation (PBE) on a geometry-optimized Sr4TaRh structure.

- formation energy from the elements (eV/atom) = 1.360
- D(E_F) (states/eV/cell) = 7.0
- V (Å³/cell) = 202.3

Unit cell a=6.589 b=6.589 c=6.589 alpha=60.00 beta=60.00 gamma=60.00
Site moments in Bohr magnetons follow the coordinates.
Element x y z (fractional)
Sr (0.375, 0.375, 0.875)  0.10
Sr (0.375, 0.375, 0.375)  0.10
Sr (0.375, 0.875, 0.375)  0.10
Sr (0.875, 0.375, 0.375)  0.10
Rh (0.000, 0.000, 0.000)  0.24
Ta (0.750, 0.750, 0.750)  1.99


No. 13
VASP calculation (PBE) on a geometry-optimized BaSrFe structure.

- relative energy among the computed polymorphs (eV per atom) = 0.000
- formation energy from the elements (eV/atom) = 0.553
- D(E_F) (states/eV/cell) = 5.1
- V (Å³/cell) = 113.5

Unit cell a=7.791 b=7.792 c=3.950 alpha=75.30 beta=75.33 gamma=29.37
Site moments in Bohr magnetons follow the coordinates.
Element x y z (fractional)
Fe (0.670, 0.670, 0.330)  2.85
Sr (0.293, 0.293, 0.707)  -0.08
Ba (0.037, 0.037, 0.963)  -0.12